18
Lattice="3.726 2.151 5.297 -3.726 2.151 5.297 0.000 -4.302 5.297" Properties=species:S:1:pos:R:3 comment="Na2YCo3F12 | Alexandria | PBE+U | optimized geometry" space_group=R-3m final_energy_ha_per_atom=-0.19075 total_magnetization_mub_per_fu=10.000 pbc="T T T"
Na 0.000 0.000 2.249
Na 0.000 0.000 13.642
Y 0.000 0.000 7.945
Co -1.863 -1.075 5.297
Co -1.863 1.075 10.594
Co 0.000 2.151 5.297
F -2.007 -1.159 7.275
F 0.000 -1.585 5.748
F -1.373 0.792 5.748
F 0.000 -2.317 8.616
F -2.007 1.159 8.616
F -1.373 -0.793 10.143
F 1.373 0.792 5.748
F 2.007 -1.159 7.275
F 0.000 2.317 7.275
F 1.373 -0.792 10.143
F 0.000 1.585 10.143
F 2.007 1.159 8.616